# Tl2AgCl3F

Crystalline Tl2AgCl3F at its relaxed geometry (PBE, Alexandria via LeMat-Bulk).

**Size of the total moment**: 0.00 μB/f.u.
**N(E_F)**: 3.909 states/eV/cell
**ΔE_f (raw)**: -0.924 eV/atom

a = 8.8781 Å, b = 8.8781 Å, c = 8.8781 Å
α = 150.80°, β = 146.82°, γ = 44.78°
Last column: nearest neighbours and their distance in Å.
Fractional coordinates of all 7 atoms:
Tl (0.1450, 0.1450, 0.0000)  7 Cl 3.17-3.39, 2 F 3.48
Tl (0.8550, 0.8550, 0.0000)  7 Cl 3.17-3.39, 2 F 3.48
Ag (0.5000, 0.5000, 0.0000)  2 F 2.24
Cl (0.0000, 0.5000, 0.5000)  2 Ag 2.53
Cl (0.3384, 0.3384, 0.0000)  1 Ag 2.65
Cl (0.6616, 0.6616, 0.0000)  1 Ag 2.65
F (0.5000, 0.0000, 0.5000)  2 Ag 2.24

# UAg3Cl6F2

Crystalline UAg3Cl6F2 at its relaxed geometry (PBE, Alexandria via LeMat-Bulk).

**Size of the total moment**: 0.96 μB/f.u.
**ΔE_f (raw)**: -1.204 eV/atom

a = 7.7183 Å, b = 7.7183 Å, c = 6.7425 Å
α = 111.12°, β = 111.12°, γ = 57.84°
Last column: nearest neighbours and their distance in Å.
Fractional coordinates of all 12 atoms:
U (0.0000, 0.0000, 0.0000)  6 Cl 2.53-2.60
Ag (0.0000, 0.5000, 0.0000)  2 F 2.40
Ag (0.5000, 0.0000, 0.0000)  2 F 2.40
Ag (0.5000, 0.5000, 0.5000)  2 F 2.16
Cl (0.1071, 0.1071, 0.7562)  1 U 2.60, 2 Ag 2.70
Cl (0.1220, 0.6396, 0.7529)  1 U 2.53
Cl (0.3604, 0.8780, 0.2471)  1 U 2.53
Cl (0.6396, 0.1220, 0.7529)  1 U 2.53
Cl (0.8780, 0.3604, 0.2471)  1 U 2.53
Cl (0.8929, 0.8929, 0.2438)  1 U 2.60, 2 Ag 2.70
F (0.3522, 0.3522, 0.2069)  3 Ag 2.16-2.40
F (0.6478, 0.6478, 0.7931)  3 Ag 2.16-2.40